Record 1
{"formula": "AcCu2", "functional": "PBE-GGA", "state": "relaxed", "sg": "P6/mmm (191)", "ef_ev_per_atom": -0.2042, "dos_at_fermi_per_ev_cell": 1.65, "lattice_angstrom": [[4.3937, 0.0000, 0.0000], [-2.1968, 3.8051, 0.0000], [0.0000, 0.0000, 4.0874]], "species": ["Ac", "Cu", "Cu"], "frac_coords": [[0.0000, 0.0000, 0.0000], [0.3333, 0.6667, 0.5000], [0.6667, 0.3333, 0.5000]]}

Record 2
{"formula": "ZrTaAl2", "functional": "PBE-GGA", "state": "relaxed", "sg": "Pmmm (47)", "ef_ev_per_atom": -0.3222, "dos_at_fermi_per_ev_cell": 1.76, "lattice_angstrom": [[2.9357, 0.0000, 0.0000], [0.0000, 4.1166, 0.0000], [0.0000, 0.0000, 5.9432]], "species": ["Zr", "Ta", "Al", "Al"], "frac_coords": [[0.0000, 0.0000, 0.0000], [0.0000, 0.0000, 0.5000], [0.5000, 0.5000, 0.2673], [0.5000, 0.5000, 0.7327]]}

Record 3
{"formula": "Fe2HgMo", "functional": "PBE-GGA", "state": "relaxed", "sg": "Cm (8)", "ef_ev_per_atom": 0.4464, "dos_at_fermi_per_ev_cell": 3.04, "lattice_angstrom": [[4.7567, -1.4533, 0.0000], [4.7567, 1.4533, 0.0000], [-1.5228, 0.0000, 4.2827]], "species": ["Fe", "Fe", "Hg", "Mo"], "frac_coords": [[0.0000, 0.0000, 0.0000], [0.7088, 0.7088, 0.2557], [0.4690, 0.4690, 0.4774], [0.2488, 0.2488, 0.8044]]}

Record 4
{"formula": "Ca2FeTe", "functional": "PBE-GGA", "state": "relaxed", "sg": "R3m (160)", "dos_at_fermi_per_ev_cell": 4.14, "e_form_raw_ev_per_fu": -1.00, "lattice_angstrom": [[2.1602, 1.2472, 7.4202], [-2.1602, 1.2472, 7.4202], [0.0000, -2.4944, 7.4202]], "species": ["Ca", "Ca", "Fe", "Te"], "frac_coords": [[0.0000, 0.0000, 0.0000], [0.1871, 0.1871, 0.1871], [0.7612, 0.7612, 0.7612], [0.4260, 0.4260, 0.4260]]}

Record 5
{"formula": "Mg2ZrSiTe", "functional": "PBE-GGA", "state": "relaxed", "sg": "P4/mmm (123)", "dos_at_fermi_per_ev_cell": 3.01, "e_form_raw_ev_per_fu": 4.58, "lattice_angstrom": [[5.1315, 0.0000, 0.0000], [0.0000, 5.1315, 0.0000], [0.0000, 0.0000, 5.5363]], "species": ["Mg", "Mg", "Zr", "Si", "Te"], "frac_coords": [[0.0000, 0.5000, 0.0000], [0.5000, 0.0000, 0.0000], [0.0000, 0.0000, 0.5000], [0.5000, 0.5000, 0.5000], [0.5000, 0.5000, 0.0000]]}

Record 6
{"formula": "PrSmTlZn", "functional": "PBE-GGA", "state": "relaxed", "sg": "F-43m (216)", "ef_ev_per_atom": -0.3272, "dos_at_fermi_per_ev_cell": 5.28, "lattice_angstrom": [[0.0000, 3.8102, 3.8102], [3.8102, 0.0000, 3.8102], [3.8102, 3.8102, 0.0000]], "species": ["Pr", "Sm", "Tl", "Zn"], "frac_coords": [[0.0000, 0.0000, 0.0000], [0.5000, 0.5000, 0.5000], [0.7500, 0.7500, 0.7500], [0.2500, 0.2500, 0.2500]]}

Record 7
{"formula": "Ti3AlH", "functional": "PBE-GGA", "state": "relaxed", "sg": "C2/m (12)", "e_tot_ev_per_atom": -6.19, "dos_at_fermi_per_ev_cell": 13.05, "lattice_angstrom": [[7.1885, -1.4170, 0.0000], [7.1885, 1.4170, 0.0000], [-0.5390, 0.0000, 7.6524]], "species": ["Ti", "Ti", "Ti", "Ti", "Ti", "Ti", "Al", "Al", "H", "H"], "frac_coords": [[0.0018, 0.0018, 0.3290], [0.1765, 0.1765, 0.8904], [0.3502, 0.3502, 0.4477], [0.6498, 0.6498, 0.5523], [0.8235, 0.8235, 0.1096], [0.9982, 0.9982, 0.6710], [0.1852, 0.1852, 0.2497], [0.8148, 0.8148, 0.7503], [0.4129, 0.4129, 0.2205], [0.5871, 0.5871, 0.7795]]}

Record 8
{"formula": "Rb2ZrReI6", "functional": "PBE-GGA", "state": "relaxed", "sg": "I4/mmm (139)", "dos_at_fermi_per_ev_cell": 9.02, "e_form_raw_ev_per_fu": -4.05, "lattice_angstrom": [[-4.0504, 4.0504, 5.7182], [4.0504, -4.0504, 5.7182], [4.0504, 4.0504, -5.7182]], "species": ["Rb", "Rb", "Zr", "Re", "I", "I", "I", "I", "I", "I"], "frac_coords": [[0.2500, 0.7500, 0.5000], [0.7500, 0.2500, 0.5000], [0.0000, 0.0000, 0.0000], [0.5000, 0.5000, 0.0000], [0.2578, 0.2578, 0.0000], [0.2578, 0.2578, 0.5156], [0.2578, 0.7422, 0.0000], [0.7422, 0.2578, 0.0000], [0.7422, 0.7422, 0.0000], [0.7422, 0.7422, 0.4844]]}

Record 9
{"formula": "Cs2CoBr4", "functional": "PBE-GGA", "state": "relaxed", "sg": "P2_1/m (11)", "e_form_raw_ev_per_fu": -8.43, "lattice_angstrom": [[7.6292, 0.0000, 0.0000], [0.0000, 7.7745, 0.0000], [-3.3581, 0.0000, 9.8839]], "species": ["Cs", "Cs", "Cs", "Cs", "Co", "Co", "Br", "Br", "Br", "Br", "Br", "Br", "Br", "Br"], "frac_coords": [[0.1978, 0.2500, 0.4188], [0.2921, 0.2500, 0.9633], [0.7079, 0.7500, 0.0367], [0.8022, 0.7500, 0.5812], [0.3080, 0.7500, 0.2184], [0.6919, 0.2500, 0.7816], [0.0966, 0.7500, 0.3472], [0.1622, 0.7500, 0.9756], [0.4921, 0.0035, 0.7232], [0.4921, 0.4965, 0.7232], [0.5079, 0.5035, 0.2768], [0.5079, 0.9965, 0.2768], [0.8378, 0.2500, 0.0244], [0.9034, 0.2500, 0.6528]]}

Record 10
{"formula": "Si23B4", "functional": "PBE-GGA", "state": "relaxed", "sg": "Pm-3n (223)", "dos_at_fermi_per_ev_cell": 20.47, "e_form_raw_ev_per_fu": 20.99, "lattice_angstrom": [[10.1175, 0.0000, 0.0000], [0.0000, 10.1175, 0.0000], [0.0000, 0.0000, 10.1175]], "species": ["Si", "Si", "Si", "Si", "Si", "Si", "Si", "Si", "Si", "Si", "Si", "Si", "Si", "Si", "Si", "Si", "Si", "Si", "Si", "Si", "Si", "Si", "Si", "Si", "Si", "Si", "Si", "Si", "Si", "Si", "Si", "Si", "Si", "Si", "Si", "Si", "Si", "Si", "Si", "Si", "Si", "Si", "Si", "Si", "Si", "Si", "B", "B", "B", "B", "B", "B", "B", "B"], "frac_coords": [[0.0000, 0.1161, 0.3098], [0.0000, 0.1161, 0.6902], [0.0000, 0.2500, 0.5000], [0.0000, 0.7500, 0.5000], [0.0000, 0.8839, 0.3098], [0.0000, 0.8839, 0.6902], [0.1161, 0.3098, 0.0000], [0.1161, 0.6902, 0.0000], [0.1831, 0.1831, 0.1831], [0.1831, 0.1831, 0.8169], [0.1831, 0.8169, 0.1831], [0.1831, 0.8169, 0.8169], [0.1902, 0.3839, 0.5000], [0.1902, 0.6161, 0.5000], [0.2500, 0.5000, 0.0000], [0.3098, 0.0000, 0.1161], [0.3098, 0.0000, 0.8839], [0.3169, 0.3169, 0.3169], [0.3169, 0.3169, 0.6831], [0.3169, 0.6831, 0.3169], [0.3169, 0.6831, 0.6831], [0.3839, 0.5000, 0.1902], [0.3839, 0.5000, 0.8098], [0.5000, 0.0000, 0.2500], [0.5000, 0.0000, 0.7500], [0.5000, 0.1902, 0.3839], [0.5000, 0.1902, 0.6161], [0.5000, 0.8098, 0.3839], [0.5000, 0.8098, 0.6161], [0.6161, 0.5000, 0.1902], [0.6161, 0.5000, 0.8098], [0.6831, 0.3169, 0.3169], [0.6831, 0.3169, 0.6831], [0.6831, 0.6831, 0.3169], [0.6831, 0.6831, 0.6831], [0.6902, 0.0000, 0.1161], [0.6902, 0.0000, 0.8839], [0.7500, 0.5000, 0.0000], [0.8098, 0.3839, 0.5000], [0.8098, 0.6161, 0.5000], [0.8169, 0.1831, 0.1831], [0.8169, 0.1831, 0.8169], [0.8169, 0.8169, 0.1831], [0.8169, 0.8169, 0.8169], [0.8839, 0.3098, 0.0000], [0.8839, 0.6902, 0.0000], [0.0000, 0.0000, 0.0000], [0.0000, 0.5000, 0.2500], [0.0000, 0.5000, 0.7500], [0.2500, 0.0000, 0.5000], [0.5000, 0.2500, 0.0000], [0.5000, 0.5000, 0.5000], [0.5000, 0.7500, 0.0000], [0.7500, 0.0000, 0.5000]]}

Record 11
{"formula": "SeSN2", "functional": "PBE-GGA", "state": "relaxed", "sg": "Fm-3m (225)", "dos_at_fermi_per_ev_cell": 1.83, "e_form_raw_ev_per_fu": 9.31, "lattice_angstrom": [[0.0000, 2.8130, 2.8130], [2.8130, 0.0000, 2.8130], [2.8130, 2.8130, 0.0000]], "species": ["Se", "S", "N", "N"], "frac_coords": [[0.0000, 0.0000, 0.0000], [0.5000, 0.5000, 0.5000], [0.2500, 0.2500, 0.2500], [0.7500, 0.7500, 0.7500]]}

Record 12
{"formula": "TbGa4Hg", "functional": "PBE-GGA", "state": "relaxed", "sg": "F-43m (216)", "ef_ev_per_atom": -0.2067, "dos_at_fermi_per_ev_cell": 4.68, "lattice_angstrom": [[0.0000, 3.9557, 3.9557], [3.9557, 0.0000, 3.9557], [3.9557, 3.9557, 0.0000]], "species": ["Tb", "Ga", "Ga", "Ga", "Ga", "Hg"], "frac_coords": [[0.0000, 0.0000, 0.0000], [0.1243, 0.6252, 0.6252], [0.6252, 0.1243, 0.6252], [0.6252, 0.6252, 0.1243], [0.6252, 0.6252, 0.6252], [0.2500, 0.2500, 0.2500]]}

Record 13
{"formula": "MgBSbTe2", "functional": "PBE-GGA", "state": "relaxed", "sg": "P4/mmm (123)", "dos_at_fermi_per_ev_cell": 4.50, "e_form_raw_ev_per_fu": 6.23, "lattice_angstrom": [[5.4801, 0.0000, 0.0000], [0.0000, 5.4801, 0.0000], [0.0000, 0.0000, 5.2950]], "species": ["Mg", "B", "Sb", "Te", "Te"], "frac_coords": [[0.0000, 0.0000, 0.0000], [0.5000, 0.5000, 0.5000], [0.0000, 0.0000, 0.5000], [0.0000, 0.5000, 0.0000], [0.5000, 0.0000, 0.0000]]}

Record 14
{"formula": "Ac3As2I", "functional": "PBE-GGA", "state": "relaxed", "sg": "Cmcm (63)", "dos_at_fermi_per_ev_cell": 8.37, "e_form_raw_ev_per_fu": -6.17, "lattice_angstrom": [[2.6383, -7.1645, 0.0000], [2.6383, 7.1645, 0.0000], [0.0000, 0.0000, 11.5507]], "species": ["Ac", "Ac", "Ac", "Ac", "Ac", "Ac", "As", "As", "As", "As", "I", "I"], "frac_coords": [[0.0891, 0.9109, 0.7500], [0.3767, 0.6233, 0.5408], [0.3767, 0.6233, 0.9592], [0.6233, 0.3767, 0.0408], [0.6233, 0.3767, 0.4592], [0.9109, 0.0891, 0.2500], [0.0000, 0.0000, 0.0000], [0.0000, 0.0000, 0.5000], [0.4969, 0.5031, 0.7500], [0.5031, 0.4969, 0.2500], [0.2347, 0.7653, 0.2500], [0.7653, 0.2347, 0.7500]]}

Record 15
{"formula": "P2AuF", "functional": "PBE-GGA", "state": "relaxed", "sg": "I-42d (122)", "dos_at_fermi_per_ev_cell": 2.95, "e_form_raw_ev_per_fu": 0.04, "lattice_angstrom": [[-1.9255, 1.9255, 8.4723], [1.9255, -1.9255, 8.4723], [1.9255, 1.9255, -8.4723]], "species": ["P", "P", "P", "P", "Au", "Au", "F", "F"], "frac_coords": [[0.0605, 0.6250, 0.9355], [0.3750, 0.3105, 0.4355], [0.6895, 0.1250, 0.0645], [0.8750, 0.9395, 0.5645], [0.2500, 0.7500, 0.5000], [0.5000, 0.5000, 0.0000], [0.0000, 0.0000, 0.0000], [0.7500, 0.2500, 0.5000]]}

Record 16
{"formula": "KCdMo", "functional": "PBE-GGA", "state": "relaxed", "sg": "Imm2 (44)", "ef_ev_per_atom": 0.9302, "dos_at_fermi_per_ev_cell": 1.49, "lattice_angstrom": [[-1.3813, 2.4227, 6.1462], [1.3813, -2.4227, 6.1462], [1.3813, 2.4227, -6.1462]], "species": ["K", "Cd", "Mo"], "frac_coords": [[0.0000, 0.0000, 0.0000], [0.2854, 0.2854, 0.0000], [0.7184, 0.7184, 0.0000]]}

Record 17
{"formula": "Cs2RbCu2I7", "functional": "PBE-GGA", "state": "relaxed", "sg": "C2/m (12)", "dos_at_fermi_per_ev_cell": 5.09, "e_form_raw_ev_per_fu": -9.27, "lattice_angstrom": [[4.0351, -4.0355, 0.0000], [4.0351, 4.0355, 0.0000], [-4.0074, 0.0000, 14.8876]], "species": ["Cs", "Cs", "Rb", "Cu", "Cu", "I", "I", "I", "I", "I", "I", "I"], "frac_coords": [[0.1768, 0.1768, 0.3580], [0.8232, 0.8232, 0.6420], [0.0000, 0.0000, 0.0000], [0.4037, 0.4037, 0.8095], [0.5963, 0.5963, 0.1905], [0.0877, 0.5874, 0.1764], [0.3146, 0.3146, 0.6257], [0.4126, 0.9123, 0.8236], [0.5000, 0.5000, 0.0000], [0.5874, 0.0877, 0.1764], [0.6854, 0.6854, 0.3743], [0.9123, 0.4126, 0.8236]]}

Record 18
{"formula": "KNb2FeCu", "functional": "PBE-GGA", "state": "relaxed", "sg": "P4/mmm (123)", "ef_ev_per_atom": 1.5270, "dos_at_fermi_per_ev_cell": 8.14, "lattice_angstrom": [[4.8250, 0.0000, 0.0000], [0.0000, 4.8250, 0.0000], [0.0000, 0.0000, 4.5796]], "species": ["K", "Nb", "Nb", "Fe", "Cu"], "frac_coords": [[0.0000, 0.0000, 0.0000], [0.0000, 0.5000, 0.5000], [0.5000, 0.0000, 0.5000], [0.5000, 0.5000, 0.0000], [0.5000, 0.5000, 0.5000]]}

Record 19
{"formula": "HfSb3I", "functional": "PBE-GGA", "state": "relaxed", "sg": "Pm-3m (221)", "dos_at_fermi_per_ev_cell": 1.41, "e_form_raw_ev_per_fu": 0.81, "lattice_angstrom": [[5.5369, 0.0000, 0.0000], [0.0000, 5.5369, 0.0000], [0.0000, 0.0000, 5.5369]], "species": ["Hf", "Sb", "Sb", "Sb", "I"], "frac_coords": [[0.0000, 0.0000, 0.0000], [0.0000, 0.0000, 0.5000], [0.0000, 0.5000, 0.0000], [0.5000, 0.0000, 0.0000], [0.5000, 0.5000, 0.5000]]}